# 1
A relaxed structure of LiRe2Mo. Source: Alexandria, functional GGA-PBE.

Geometry as CIF:
```
data_LiRe2Mo
_cell_length_a 3.168
_cell_length_b 4.250
_cell_length_c 4.288
_cell_angle_alpha 90.00
_cell_angle_beta 90.00
_cell_angle_gamma 90.00
_symmetry_space_group_name_H-M 'P 1'
_symmetry_Int_Tables_number 1
_symmetry_space_group_name_Hall 'P 1'
loop_
_atom_site_label
_atom_site_type_symbol
_atom_site_fract_x
_atom_site_fract_y
_atom_site_fract_z
_atom_site_occupancy
Li1 Li 0.000 0.000 0.000 1
Re1 Re 0.000 0.500 0.500 1
Re2 Re 0.500 0.000 0.500 1
Mo1 Mo 0.500 0.500 0.000 1
```

Computed properties:
Total energy (eV per atom): -9.05
Calculated formation energy (kJ/mol of formula units): 141



# 2
A relaxed structure of PmUIO4. Source: Alexandria, functional GGA-PBE.

Geometry as CIF:
```
data_PmUIO4
_cell_length_a 8.203
_cell_length_b 8.203
_cell_length_c 6.920
_cell_angle_alpha 104.44
_cell_angle_beta 104.44
_cell_angle_gamma 44.41
_symmetry_space_group_name_H-M 'P 1'
_symmetry_Int_Tables_number 1
_symmetry_space_group_name_Hall 'P 1'
loop_
_atom_site_label
_atom_site_type_symbol
_atom_site_fract_x
_atom_site_fract_y
_atom_site_fract_z
_atom_site_occupancy
Pm1 Pm 0.210 0.210 0.338 1
Pm2 Pm 0.790 0.790 0.662 1
U1 U 0.103 0.103 0.701 1
U2 U 0.897 0.897 0.299 1
I1 I 0.483 0.483 0.234 1
I2 I 0.517 0.517 0.766 1
O1 O 0.020 0.588 0.364 1
O2 O 0.057 0.057 0.394 1
O3 O 0.144 0.144 0.991 1
O4 O 0.412 0.980 0.636 1
O5 O 0.588 0.020 0.364 1
O6 O 0.856 0.856 0.009 1
O7 O 0.943 0.943 0.606 1
O8 O 0.980 0.412 0.636 1
```

Computed properties:
Energy relative to the elements, uncorrected (meV/atom): -2786
Total energy (eV per atom): -8.13



# 3
A relaxed structure of Li7I3N. Source: Alexandria, functional GGA-PBE.

Geometry as CIF:
```
data_Li7I3N
_cell_length_a 6.121
_cell_length_b 6.121
_cell_length_c 7.549
_cell_angle_alpha 112.20
_cell_angle_beta 112.20
_cell_angle_gamma 88.80
_symmetry_space_group_name_H-M 'P 1'
_symmetry_Int_Tables_number 1
_symmetry_space_group_name_Hall 'P 1'
loop_
_atom_site_label
_atom_site_type_symbol
_atom_site_fract_x
_atom_site_fract_y
_atom_site_fract_z
_atom_site_occupancy
Li1 Li 0.000 0.000 0.000 1
Li2 Li 0.210 0.210 0.379 1
Li3 Li 0.210 0.802 0.374 1
Li4 Li 0.581 0.909 0.009 1
Li5 Li 0.773 0.773 0.340 1
Li6 Li 0.802 0.210 0.374 1
Li7 Li 0.909 0.581 0.009 1
I1 I 0.130 0.642 0.672 1
I2 I 0.387 0.387 0.158 1
I3 I 0.642 0.130 0.672 1
N1 N 0.921 0.921 0.207 1
```

Computed properties:
Energy relative to the elements, uncorrected (meV/atom): -694
Total energy (eV per atom): -3.09



# 4
A relaxed structure of NdSnSeO2. Source: Alexandria, functional GGA-PBE.

Geometry as CIF:
```
data_NdSnSeO2
_cell_length_a 6.736
_cell_length_b 4.194
_cell_length_c 7.678
_cell_angle_alpha 90.00
_cell_angle_beta 111.13
_cell_angle_gamma 90.00
_symmetry_space_group_name_H-M 'P 1'
_symmetry_Int_Tables_number 1
_symmetry_space_group_name_Hall 'P 1'
loop_
_atom_site_label
_atom_site_type_symbol
_atom_site_fract_x
_atom_site_fract_y
_atom_site_fract_z
_atom_site_occupancy
Nd1 Nd 0.187 0.250 0.432 1
Nd2 Nd 0.813 0.750 0.568 1
Sn1 Sn 0.176 0.250 0.934 1
Sn2 Sn 0.824 0.750 0.066 1
Se1 Se 0.458 0.750 0.725 1
Se2 Se 0.542 0.250 0.275 1
O1 O 0.015 0.750 0.365 1
O2 O 0.028 0.750 0.899 1
O3 O 0.972 0.250 0.101 1
O4 O 0.985 0.250 0.635 1
```

Computed properties:
Energy relative to the elements, uncorrected (meV/atom): -1929
Total energy (eV per atom): -6.36



# 5
A relaxed structure of Y2Mn2Ni. Source: Alexandria, functional GGA-PBE.

Geometry as CIF:
```
data_Y2Mn2Ni
_cell_length_a 6.479
_cell_length_b 6.479
_cell_length_c 4.381
_cell_angle_alpha 90.00
_cell_angle_beta 90.00
_cell_angle_gamma 90.00
_symmetry_space_group_name_H-M 'P 1'
_symmetry_Int_Tables_number 1
_symmetry_space_group_name_Hall 'P 1'
loop_
_atom_site_label
_atom_site_type_symbol
_atom_site_fract_x
_atom_site_fract_y
_atom_site_fract_z
_atom_site_occupancy
Y1 Y 0.182 0.318 0.000 1
Y2 Y 0.318 0.818 0.000 1
Y3 Y 0.682 0.182 0.000 1
Y4 Y 0.818 0.682 0.000 1
Mn1 Mn 0.118 0.618 0.500 1
Mn2 Mn 0.382 0.118 0.500 1
Mn3 Mn 0.618 0.882 0.500 1
Mn4 Mn 0.882 0.382 0.500 1
Ni1 Ni 0.000 0.000 0.500 1
Ni2 Ni 0.500 0.500 0.500 1
```

Computed properties:
Total energy (eV per atom): -7.27
Calculated formation energy (kJ/mol of formula units): 65



# 6
A relaxed structure of MnCr2Ir. Source: Alexandria, functional GGA-PBE.

Geometry as CIF:
```
data_MnCr2Ir
_cell_length_a 4.491
_cell_length_b 4.491
_cell_length_c 4.503
_cell_angle_alpha 99.88
_cell_angle_beta 99.88
_cell_angle_gamma 34.21
_symmetry_space_group_name_H-M 'P 1'
_symmetry_Int_Tables_number 1
_symmetry_space_group_name_Hall 'P 1'
loop_
_atom_site_label
_atom_site_type_symbol
_atom_site_fract_x
_atom_site_fract_y
_atom_site_fract_z
_atom_site_occupancy
Mn1 Mn 0.000 0.000 0.000 1
Cr1 Cr 0.252 0.252 0.774 1
Cr2 Cr 0.498 0.498 0.511 1
Ir1 Ir 0.749 0.749 0.275 1
```

Computed properties:
Total energy (eV per atom): -9.30
Calculated formation energy (kJ/mol of formula units): 9